Entry 1:
An optimized crystal structure of Nb2TcCl2. Source: Alexandria via LeMat-Bulk, functional PBE.

```
data_Nb2TcCl2
_chemical_formula_sum 'Nb4 Tc2 Cl4'
_cell_length_a 4.434
_cell_length_b 4.434
_cell_length_c 9.285
_cell_angle_alpha 90.00
_cell_angle_beta 90.00
_cell_angle_gamma 90.00
_space_group_name_H-M_alt 'I 4/m m m'
_space_group_IT_number 139
_space_group_name_Hall '-I 4 2'
loop_
_atom_site_label
_atom_site_fract_x
_atom_site_fract_y
_atom_site_fract_z
Nb1 0.000 0.500 0.250
Tc1 0.000 0.000 0.000
Cl1 0.000 0.000 0.360
```

## Properties
* energy above the lowest structure with this stoichiometry: 0.119 eV/atom

---

Entry 2:
An optimized crystal structure of Nb2TcCl2. Source: Alexandria via LeMat-Bulk, functional PBE.

```
data_Nb2TcCl2
_chemical_formula_sum 'Nb4 Tc2 Cl4'
_cell_length_a 7.604
_cell_length_b 7.604
_cell_length_c 2.829
_cell_angle_alpha 90.00
_cell_angle_beta 90.00
_cell_angle_gamma 90.00
_space_group_name_H-M_alt 'P 4/m b m'
_space_group_IT_number 127
_space_group_name_Hall '-P 4 2ab'
loop_
_atom_site_label
_atom_site_fract_x
_atom_site_fract_y
_atom_site_fract_z
Nb1 0.182 0.318 0.000
Tc1 0.000 0.000 0.500
Cl1 0.126 0.626 0.500
```

## Properties
* energy above the lowest structure with this stoichiometry: 0.000 eV/atom

---

Entry 3:
An optimized crystal structure of Nb3TcCl. Source: Alexandria via LeMat-Bulk, functional PBE.

```
data_Nb3TcCl
_chemical_formula_sum 'Nb3 Tc1 Cl1'
_cell_length_a 4.882
_cell_length_b 4.882
_cell_length_c 4.882
_cell_angle_alpha 90.00
_cell_angle_beta 90.00
_cell_angle_gamma 90.00
_space_group_name_H-M_alt 'P m -3 m'
_space_group_IT_number 221
_space_group_name_Hall '-P 4 2 3'
loop_
_atom_site_label
_atom_site_fract_x
_atom_site_fract_y
_atom_site_fract_z
Nb1 0.000 0.000 0.500
Tc1 0.000 0.000 0.000
Cl1 0.500 0.500 0.500
```

## Properties
* energy above the lowest structure with this stoichiometry: 0.350 eV/atom

---

Entry 4:
An optimized crystal structure of Nb3TcCl. Source: Alexandria via LeMat-Bulk, functional PBE.

```
data_Nb3TcCl
_chemical_formula_sum 'Nb3 Tc1 Cl1'
_cell_length_a 4.510
_cell_length_b 4.510
_cell_length_c 4.510
_cell_angle_alpha 90.00
_cell_angle_beta 90.00
_cell_angle_gamma 90.00
_space_group_name_H-M_alt 'P m -3 m'
_space_group_IT_number 221
_space_group_name_Hall '-P 4 2 3'
loop_
_atom_site_label
_atom_site_fract_x
_atom_site_fract_y
_atom_site_fract_z
Nb1 0.000 0.000 0.500
Tc1 0.500 0.500 0.500
Cl1 0.000 0.000 0.000
```

## Properties
* energy above the lowest structure with this stoichiometry: 0.000 eV/atom

---

Entry 5:
An optimized crystal structure of Nb2TcCl. Source: Alexandria via LeMat-Bulk, functional PBE.

```
data_Nb2TcCl
_chemical_formula_sum 'Nb8 Tc4 Cl4'
_cell_length_a 6.805
_cell_length_b 6.805
_cell_length_c 6.122
_cell_angle_alpha 90.00
_cell_angle_beta 90.00
_cell_angle_gamma 90.00
_space_group_name_H-M_alt 'I -4 2 d'
_space_group_IT_number 122
_space_group_name_Hall 'I -4 2bw'
loop_
_atom_site_label
_atom_site_fract_x
_atom_site_fract_y
_atom_site_fract_z
Nb1 0.229 0.250 0.125
Tc1 0.000 0.000 0.500
Cl1 0.000 0.000 0.000
```

## Properties
* energy above the lowest structure with this stoichiometry: 0.059 eV/atom

---

Entry 6:
An optimized crystal structure of NbTcCl2. Source: Alexandria via LeMat-Bulk, functional PBE.

```
data_NbTcCl2
_chemical_formula_sum 'Nb3 Tc3 Cl6'
_cell_length_a 3.0535
_cell_length_b 3.0535
_cell_length_c 25.2493
_cell_angle_alpha 90.00
_cell_angle_beta 90.00
_cell_angle_gamma 120.00
_space_group_name_H-M_alt 'R -3 m'
_space_group_IT_number 166
_space_group_name_Hall '-R 3 2"'
loop_
_atom_site_label
_atom_site_fract_x
_atom_site_fract_y
_atom_site_fract_z
Nb1 0.0000 0.0000 0.0000
Tc1 0.0000 0.0000 0.5000
Cl1 0.0000 0.0000 0.4064
```

## Properties
* energy above the lowest structure with this stoichiometry: 0.000 eV/atom

---

Entry 7:
An optimized crystal structure of NbTc2TeCl. Source: Alexandria via LeMat-Bulk, functional PBE.

```
data_NbTc2TeCl
_chemical_formula_sum 'Nb1 Tc2 Te1 Cl1'
_cell_length_a 4.936
_cell_length_b 4.936
_cell_length_c 4.684
_cell_angle_alpha 90.00
_cell_angle_beta 90.00
_cell_angle_gamma 90.00
_space_group_name_H-M_alt 'P 4/m m m'
_space_group_IT_number 123
_space_group_name_Hall '-P 4 2'
loop_
_atom_site_label
_atom_site_fract_x
_atom_site_fract_y
_atom_site_fract_z
Nb1 0.000 0.000 0.000
Tc1 0.000 0.500 0.000
Te1 0.500 0.500 0.500
Cl1 0.000 0.000 0.500
```

## Properties
* raw total energy: -30.532 eV/f.u.

---

Entry 8:
An optimized crystal structure of ZrNbTc2Cl. Source: Alexandria via LeMat-Bulk, functional PBE.

```
data_ZrNbTc2Cl
_chemical_formula_sum 'Zr1 Nb1 Tc2 Cl1'
_cell_length_a 4.411
_cell_length_b 4.411
_cell_length_c 4.560
_cell_angle_alpha 90.00
_cell_angle_beta 90.00
_cell_angle_gamma 90.00
_space_group_name_H-M_alt 'P 4/m m m'
_space_group_IT_number 123
_space_group_name_Hall '-P 4 2'
loop_
_atom_site_label
_atom_site_fract_x
_atom_site_fract_y
_atom_site_fract_z
Zr1 0.000 0.000 0.000
Nb1 0.500 0.500 0.000
Tc1 0.000 0.500 0.500
Cl1 0.500 0.500 0.500
```

## Properties
* raw total energy: -38.365 eV/f.u.

---

Entry 9:
An optimized crystal structure of Nb3TeCl7. Source: Alexandria via LeMat-Bulk, functional PBE.

```
data_Nb3TeCl7
_chemical_formula_sum 'Nb6 Te2 Cl14'
_cell_length_a 12.104
_cell_length_b 6.988
_cell_length_c 9.467
_cell_angle_alpha 90.00
_cell_angle_beta 129.12
_cell_angle_gamma 90.00
_space_group_name_H-M_alt 'C 1 m 1'
_space_group_IT_number 8
loop_
_space_group_symop_operation_xyz
'x,y,z'
'x,-y,z'
'x+1/2,y+1/2,z'
'x+1/2,-y+1/2,z'
loop_
_atom_site_label
_atom_site_fract_x
_atom_site_fract_y
_atom_site_fract_z
Nb1 0.000 0.000 0.000
Nb2 0.210 0.210 0.000
Te1 0.496 0.500 0.709
Cl1 0.054 0.500 0.825
Cl2 0.164 0.246 0.216
Cl3 0.303 0.251 0.825
Cl4 0.399 0.500 0.187
Cl5 0.410 0.000 0.216
```

## Properties
* raw total energy: -59.563 eV/f.u.

---

Entry 10:
An optimized crystal structure of NbTe2Cl8. Source: Alexandria via LeMat-Bulk, functional PBE.

```
data_NbTe2Cl8
_chemical_formula_sum 'Nb2 Te4 Cl16'
_cell_length_a 17.330
_cell_length_b 6.484
_cell_length_c 7.962
_cell_angle_alpha 90.00
_cell_angle_beta 115.07
_cell_angle_gamma 90.00
_space_group_name_H-M_alt 'C 1 2/m 1'
_space_group_IT_number 12
loop_
_space_group_symop_operation_xyz
'x,y,z'
'-x,-y,-z'
'-x,y,-z'
'x,-y,z'
'x+1/2,y+1/2,z'
'-x+1/2,-y+1/2,-z'
'-x+1/2,y+1/2,-z'
'x+1/2,-y+1/2,z'
loop_
_atom_site_label
_atom_site_fract_x
_atom_site_fract_y
_atom_site_fract_z
Nb1 0.000 0.000 0.000
Te1 0.247 0.000 0.445
Cl1 0.069 0.000 0.342
Cl2 0.097 0.251 0.997
Cl3 0.111 0.500 0.521
```

## Properties
* raw total energy: -39.433 eV/f.u.

---

Entry 11:
An optimized crystal structure of NbTeCl. Source: Alexandria via LeMat-Bulk, functional PBE.

```
data_NbTeCl
_chemical_formula_sum 'Nb2 Te2 Cl2'
_cell_length_a 4.366
_cell_length_b 7.469
_cell_length_c 8.141
_cell_angle_alpha 90.00
_cell_angle_beta 122.39
_cell_angle_gamma 90.00
_space_group_name_H-M_alt 'P 1 c 1'
_space_group_IT_number 7
loop_
_space_group_symop_operation_xyz
'x,y,z'
'x,-y,z+1/2'
loop_
_atom_site_label
_atom_site_fract_x
_atom_site_fract_y
_atom_site_fract_z
Nb1 0.000 0.106 0.000
Te1 0.403 0.103 0.403
Cl1 0.900 0.400 0.897
```

## Properties
* raw total energy: -15.996 eV/f.u.

---

Entry 12:
An optimized crystal structure of NbTeCl. Source: Alexandria via LeMat-Bulk, functional PBE.

```
data_NbTeCl
_chemical_formula_sum 'Nb4 Te4 Cl4'
_cell_length_a 7.489
_cell_length_b 6.948
_cell_length_c 6.136
_cell_angle_alpha 90.00
_cell_angle_beta 94.57
_cell_angle_gamma 90.00
_space_group_name_H-M_alt 'P 1 21/c 1'
_space_group_IT_number 14
loop_
_space_group_symop_operation_xyz
'x,y,z'
'-x,-y,-z'
'-x,y+1/2,-z+1/2'
'x,-y+1/2,z+1/2'
loop_
_atom_site_label
_atom_site_fract_x
_atom_site_fract_y
_atom_site_fract_z
Nb1 0.005 0.134 0.278
Te1 0.268 0.114 0.611
Cl1 0.198 0.616 0.591
```

## Properties
* raw total energy: -17.094 eV/f.u.

---

Entry 13:
An optimized crystal structure of Nb2Te2Cl. Source: Alexandria via LeMat-Bulk, functional PBE.

```
data_Nb2Te2Cl
_chemical_formula_sum 'Nb4 Te4 Cl2'
_cell_length_a 5.191
_cell_length_b 5.191
_cell_length_c 9.695
_cell_angle_alpha 90.00
_cell_angle_beta 90.00
_cell_angle_gamma 90.00
_space_group_name_H-M_alt 'I 4/m m m'
_space_group_IT_number 139
_space_group_name_Hall '-I 4 2'
loop_
_atom_site_label
_atom_site_fract_x
_atom_site_fract_y
_atom_site_fract_z
Nb1 0.000 0.000 0.126
Te1 0.000 0.500 0.250
Cl1 0.000 0.000 0.500
```

## Properties
* energy above the lowest structure with this stoichiometry: 0.271 eV/atom

---

For reference, calculated volume by record: 18.25, 16.36, 23.27, 18.35, 17.72, 16.99, 22.82, 17.74, 28.24, 36.83, 37.36, 26.52, 26.13 Å³/atom.
For reference, spin magnetization by record: 0.36, 0.00, 0.00, 0.00, 0.00, 0.27, 0.62, 0.00, 0.00, 0.09, 0.67, 0.00, 0.00 μB per atom.